DFT (PBE) results for a relaxed Tc2Ni crystal.

CIF file:
```
data_Tc2Ni
_symmetry_space_group_name_H-M 'C 1 m 1'
_symmetry_Int_Tables_number 8
_cell_length_a 9.745
_cell_length_b 2.711
_cell_length_c 6.299
_cell_angle_alpha 90.00
_cell_angle_beta 104.35
_cell_angle_gamma 90.00
loop_
_symmetry_equiv_pos_as_xyz
'x,y,z'
'x,-y,z'
'x+1/2,y+1/2,z'
'x+1/2,-y+1/2,z'
loop_
_atom_site_label
_atom_site_type_symbol
_atom_site_fract_x
_atom_site_fract_y
_atom_site_fract_z
_atom_site_occupancy
Tc1 Tc 0.000 0.000 0.000 1
Tc2 Tc 0.053 0.000 0.607 1
Tc3 Tc 0.223 0.500 0.943 1
Tc4 Tc 0.383 0.000 0.282 1
Ni1 Ni 0.166 0.500 0.335 1
Ni2 Ni 0.330 0.000 0.666 1
```

Calculated values
Volume (Å³/atom): 13.434
Total energy (Ry/atom): -0.646